## ScFeRu3 (PBE)

Data for an optimized crystal structure of ScFeRu3.

Properties
DFT formation energy in meV/atom: 1989
SG: Pm-3m, No. 221

a = 4.516 Å, b = 4.516 Å, c = 4.516 Å
α = 90.00°, β = 90.00°, γ = 90.00°
Fractional positions:
Fe (0.500, 0.500, 0.500)
Sc (0.000, 0.000, 0.000)
Ru (0.000, 0.500, 0.000)
Ru (0.500, 0.000, 0.000)
Ru (0.000, 0.000, 0.500)